[1]
# YIn5Cl8

YIn5Cl8 after structural relaxation (PBE, Alexandria).

a = 8.159 Å, b = 8.159 Å, c = 8.159 Å
α = 111.31°, β = 111.31°, γ = 105.86°
Fractional coordinates of all 14 atoms:
Y  0.000  0.000  0.000
In  0.269  0.145  0.670
In  0.401  0.731  0.876
In  0.475  0.599  0.330
In  0.750  0.250  0.500
In  0.855  0.525  0.124
Cl  0.008  0.803  0.650
Cl  0.070  0.301  0.889
Cl  0.153  0.358  0.350
Cl  0.197  0.847  0.205
Cl  0.412  0.181  0.111
Cl  0.642  0.992  0.795
Cl  0.699  0.588  0.769
Cl  0.819  0.930  0.231

## Properties
- calculated total energy (eV/f.u.) = -51.9
- D(E_F) (states/eV/atom) = 0.000
- formation energy without anion corrections (eV per formula unit) = -17.0

---

[2]
# InCoPS2

InCoPS2 after structural relaxation (PBE, Alexandria).

a = 5.018 Å, b = 5.018 Å, c = 4.974 Å
α = 90.00°, β = 90.00°, γ = 90.00°
Fractional coordinates of all 5 atoms:
In  0.000  0.000  0.000
Co  0.500  0.500  0.500
P  0.000  0.000  0.500
S  0.000  0.500  0.000
S  0.500  0.000  0.000

## Properties
- calculated total energy (eV/f.u.) = -17.2
- E above lowest polymorph (meV/atom) = 1028
- D(E_F) (states/eV/atom) = 1.656
- formation energy without anion corrections (eV per formula unit) = 6.3

---

[3]
# CsNa2MoBr8

CsNa2MoBr8 after structural relaxation (PBE, Alexandria).

a = 6.236 Å, b = 6.873 Å, c = 9.887 Å
α = 90.05°, β = 90.21°, γ = 92.44°
Fractional coordinates of all 12 atoms:
Cs  0.000  0.000  0.000
Na  0.499  0.500  0.732
Na  0.501  0.500  0.268
Mo  0.000  0.000  0.500
Br  0.233  0.317  0.499
Br  0.236  0.859  0.318
Br  0.238  0.861  0.683
Br  0.251  0.495  0.000
Br  0.749  0.505  0.000
Br  0.762  0.139  0.317
Br  0.764  0.141  0.682
Br  0.767  0.683  0.501

## Properties
- calculated total energy (eV/f.u.) = -39.4
- D(E_F) (states/eV/atom) = 0.660
- formation energy without anion corrections (eV per formula unit) = -11.7

---

[4]
# Nb3TlH

Nb3TlH after structural relaxation (PBE, Alexandria).

a = 4.271 Å, b = 4.271 Å, c = 4.271 Å
α = 90.00°, β = 90.00°, γ = 90.00°
Fractional coordinates of all 5 atoms:
Nb  0.000  0.000  0.500
Nb  0.000  0.500  0.000
Nb  0.500  0.000  0.000
Tl  0.500  0.500  0.500
H  0.000  0.000  0.000

## Properties
- calculated total energy (eV/f.u.) = -35.7
- E above lowest polymorph (meV/atom) = 0
- D(E_F) (states/eV/atom) = 0.703

---

[5]
# LiAlFe2H

LiAlFe2H after structural relaxation (PBE, Alexandria).

a = 3.604 Å, b = 3.604 Å, c = 3.887 Å
α = 90.00°, β = 90.00°, γ = 90.00°
Fractional coordinates of all 5 atoms:
Li  0.000  0.000  0.000
Al  0.500  0.500  0.000
Fe  0.000  0.500  0.500
Fe  0.500  0.000  0.500
H  0.000  0.000  0.500

## Properties
- calculated total energy (eV/f.u.) = -26.5
- D(E_F) (states/eV/atom) = 0.522

---

[6]
# HfFe3Pd

HfFe3Pd after structural relaxation (PBE, Alexandria).

a = 4.564 Å, b = 4.564 Å, c = 4.564 Å
α = 90.00°, β = 90.00°, γ = 90.00°
Fractional coordinates of all 5 atoms:
Hf  0.000  0.000  0.000
Fe  0.000  0.500  0.500
Fe  0.500  0.000  0.500
Fe  0.500  0.500  0.000
Pd  0.500  0.500  0.500

## Properties
- calculated total energy (eV/f.u.) = -35.3
- E above lowest polymorph (meV/atom) = 0
- D(E_F) (states/eV/atom) = 2.761
- energy relative to the elements (eV/atom) = 1.0485

---

[7]
# Ac2BeSiPd6

Ac2BeSiPd6 after structural relaxation (PBE, Alexandria).

a = 5.808 Å, b = 6.495 Å, c = 6.636 Å
α = 70.94°, β = 64.28°, γ = 63.74°
Fractional coordinates of all 10 atoms:
Ac  0.250  0.214  0.288
Ac  0.750  0.786  0.712
Be  0.000  0.000  0.000
Si  0.500  0.500  0.500
Pd  0.230  0.260  0.769
Pd  0.244  0.653  0.856
Pd  0.261  0.740  0.231
Pd  0.739  0.260  0.769
Pd  0.756  0.347  0.144
Pd  0.770  0.740  0.231

## Properties
- calculated total energy (eV/f.u.) = -55.9
- D(E_F) (states/eV/atom) = 0.402
- formation energy without anion corrections (eV per formula unit) = -7.4

---

[8]
# KNaSr2Mg

KNaSr2Mg after structural relaxation (PBE, Alexandria).

a = 7.058 Å, b = 7.058 Å, c = 5.645 Å
α = 90.00°, β = 90.00°, γ = 90.00°
Fractional coordinates of all 5 atoms:
K  0.000  0.000  0.000
Na  0.000  0.000  0.500
Sr  0.000  0.500  0.000
Sr  0.500  0.000  0.000
Mg  0.500  0.500  0.500

## Properties
- calculated total energy (eV/f.u.) = -4.0
- D(E_F) (states/eV/atom) = 1.256
- energy relative to the elements (eV/atom) = 0.6716